Entry 1:
## La3OsI (PBE-GGA)

Data for crystalline La3OsI at its relaxed geometry.

## Properties
spin magnetization	0.0	μB/f.u.
formation energy from raw total energies	-2.49	eV per formula unit
distance to the lowest polymorph of the same formula	0	meV/atom
total DFT energy (no corrections)	-6.01	eV/atom

Unit cell a=4.3568 b=7.2308 c=10.2558 alpha=90.00 beta=90.00 gamma=90.00
Fractional coordinates of all 10 atoms:
La 0.7500 0.4993 0.1421
La 0.7500 0.0007 0.1421
La 0.2500 0.7500 0.3928
La 0.2500 0.9993 0.8579
I 0.7500 0.7500 0.6451
I 0.2500 0.2500 0.3549
La 0.2500 0.5007 0.8579
La 0.7500 0.2500 0.6072
Os 0.2500 0.7500 0.1042
Os 0.7500 0.2500 0.8958

---

Entry 2:
## La8POs3I3 (PBE-GGA)

Data for crystalline La8POs3I3 at its relaxed geometry.

## Properties
spin magnetization	0.0	μB/f.u.
formation energy from raw total energies	-10.93	eV per formula unit
total DFT energy (no corrections)	-6.27	eV/atom

Unit cell a=8.5798 b=8.5852 c=9.4140 alpha=117.15 beta=90.01 gamma=119.99
Fractional coordinates of all 15 atoms:
P 0.0000 0.0000 0.5000
I 0.5000 0.5000 0.0000
Os 0.0000 0.5000 0.5000
La 0.2686 0.5373 0.3065
La 0.7652 0.5302 0.3147
La 0.7649 0.0491 0.3145
Os 0.5000 0.0000 0.5000
La 0.2351 0.9509 0.6855
I 0.0000 0.0000 0.0000
I 0.0000 0.5000 0.0000
La 0.7314 0.4627 0.6935
La 0.2348 0.4698 0.6853
La 0.2842 0.0492 0.3146
Os 0.5000 0.5000 0.5000
La 0.7158 0.9508 0.6854

---

Entry 3:
## La8P3OsI4 (PBE-GGA)

Data for crystalline La8P3OsI4 at its relaxed geometry.

## Properties
spin magnetization	0.0	μB/f.u.
formation energy from raw total energies	-20.01	eV per formula unit
total DFT energy (no corrections)	-5.82	eV/atom

Unit cell a=8.6491 b=9.2910 c=8.6474 alpha=117.73 beta=120.01 gamma=90.00
Fractional coordinates of all 16 atoms:
La 0.7316 0.6949 0.4632
P 0.5000 0.5000 0.0000
La 0.7395 0.6917 0.9656
La 0.7739 0.3083 0.0344
La 0.2257 0.6915 0.4514
P 0.5000 0.5000 0.5000
P 0.0000 0.5000 0.5000
I 0.0000 0.0000 0.5000
Os 0.0000 0.5000 0.0000
La 0.7743 0.3085 0.5486
La 0.2261 0.6917 0.9656
I 0.0000 0.0000 0.0000
La 0.2684 0.3051 0.5368
La 0.2605 0.3083 0.0344
I 0.5000 0.0000 0.0000
I 0.5000 0.0000 0.5000

---

Entry 4:
## La4POsI2 (PBE-GGA)

Data for crystalline La4POsI2 at its relaxed geometry.

## Properties
spin magnetization	0.0	μB/f.u.
formation energy from raw total energies	-8.49	eV per formula unit
total DFT energy (no corrections)	-5.99	eV/atom

Unit cell a=4.2647 b=7.5905 c=8.3431 alpha=105.89 beta=90.00 gamma=90.00
Fractional coordinates of all 8 atoms:
La 0.0000 0.2794 0.8107
La 0.5000 0.2462 0.1846
I 0.5000 0.0000 0.5000
La 0.0000 0.7206 0.1893
La 0.5000 0.7538 0.8154
Os 0.5000 0.5000 0.0000
P 0.0000 0.0000 0.0000
I 0.0000 0.5000 0.5000

---

Entry 5:
## La6POs2I3 (PBE-GGA)

Data for crystalline La6POs2I3 at its relaxed geometry.

## Properties
spin magnetization	0.0	μB/f.u.
formation energy from raw total energies	-11.37	eV per formula unit
total DFT energy (no corrections)	-6.12	eV/atom

Unit cell a=7.4439 b=7.4439 c=8.4811 alpha=98.59 beta=98.59 gamma=119.78
Fractional coordinates of all 12 atoms:
I 0.8360 0.1640 0.5000
I 0.1640 0.8360 0.5000
La 0.4060 0.0588 0.1876
La 0.5940 0.9412 0.8124
Os 0.6674 0.3326 0.0000
La 0.0588 0.4060 0.1876
Os 0.3326 0.6674 0.0000
P 0.0000 0.0000 0.0000
La 0.9412 0.5940 0.8124
La 0.2857 0.2857 0.8141
La 0.7143 0.7143 0.1859
I 0.5000 0.5000 0.5000

---

Entry 6:
## LaOsPb2I (PBE-GGA)

Data for crystalline LaOsPb2I at its relaxed geometry.

## Properties
spin magnetization	0.0	μB/f.u.
formation energy from raw total energies	1.78	eV per formula unit
total DFT energy (no corrections)	-4.67	eV/atom

Unit cell a=5.2194 b=5.7612 c=5.2194 alpha=90.00 beta=90.00 gamma=90.00
Fractional coordinates of all 5 atoms:
Pb 0.5000 0.0000 0.0000
La 0.5000 0.5000 0.5000
Os 0.0000 0.0000 0.0000
I 0.0000 0.5000 0.0000
Pb 0.0000 0.0000 0.5000

---

Entry 7:
## LaOs2PbI (PBE-GGA)

Data for crystalline LaOs2PbI at its relaxed geometry.

## Properties
spin magnetization	1.4	μB/f.u.
formation energy from raw total energies	8.33	eV per formula unit
total DFT energy (no corrections)	-4.86	eV/atom

Unit cell a=4.9802 b=6.1988 c=4.9802 alpha=90.00 beta=90.00 gamma=90.00
Fractional coordinates of all 5 atoms:
La 0.0000 0.0000 0.0000
I 0.0000 0.5000 0.0000
Os 0.0000 0.0000 0.5000
Pb 0.5000 0.5000 0.5000
Os 0.5000 0.0000 0.0000

---

Entry 8:
## LaOsPdI2 (PBE-GGA)

Data for crystalline LaOsPdI2 at its relaxed geometry.

## Properties
spin magnetization	2.5	μB/f.u.
formation energy from raw total energies	4.62	eV per formula unit
total DFT energy (no corrections)	-3.97	eV/atom

Unit cell a=6.2546 b=6.2546 c=5.1681 alpha=90.00 beta=90.00 gamma=90.00
Fractional coordinates of all 5 atoms:
La 0.0000 0.0000 0.0000
Os 0.0000 0.0000 0.5000
I 0.0000 0.5000 0.0000
Pd 0.5000 0.5000 0.5000
I 0.5000 0.0000 0.0000

---

Entry 9:
## LaPmOsI (PBE-GGA)

Data for crystalline LaPmOsI at its relaxed geometry.

## Properties
spin magnetization	0.0	μB/f.u.
formation energy from raw total energies	-2.24	eV per formula unit
total DFT energy (no corrections)	-6.17	eV/atom

Unit cell a=4.1979 b=4.1983 c=8.5470 alpha=90.02 beta=104.19 gamma=120.00
Fractional coordinates of all 4 atoms:
Pm 0.0941 0.9450 0.0546
La 0.5165 0.1561 0.6879
Os 0.3033 0.5493 0.8681
I 0.9640 0.3804 0.3590

---

Entry 10:
## LaPrOsI (PBE-GGA)

Data for crystalline LaPrOsI at its relaxed geometry.

## Properties
spin magnetization	0.0	μB/f.u.
formation energy from raw total energies	-2.21	eV per formula unit
total DFT energy (no corrections)	-6.17	eV/atom

Unit cell a=4.2265 b=4.2270 c=8.6039 alpha=90.02 beta=104.20 gamma=120.00
Fractional coordinates of all 4 atoms:
Pr 0.0943 0.9450 0.0548
Os 0.3012 0.5483 0.8650
I 0.9663 0.3816 0.3624
La 0.5162 0.1559 0.6874

---

Entry 11:
## La6Os2PtI3 (PBE-GGA)

Data for crystalline La6Os2PtI3 at its relaxed geometry.

## Properties
spin magnetization	0.0	μB/f.u.
formation energy from raw total energies	-10.91	eV per formula unit
total DFT energy (no corrections)	-6.14	eV/atom

Unit cell a=7.3909 b=7.3909 c=8.5943 alpha=98.23 beta=98.23 gamma=120.00
Fractional coordinates of all 12 atoms:
La 0.9381 0.5920 0.8143
La 0.5920 0.9381 0.8143
I 0.8336 0.1664 0.5000
La 0.4080 0.0619 0.1857
La 0.0619 0.4080 0.1857
Os 0.3333 0.6667 0.0000
I 0.1664 0.8336 0.5000
La 0.2845 0.2845 0.8149
La 0.7155 0.7155 0.1851
Pt 0.0000 0.0000 0.0000
I 0.5000 0.5000 0.5000
Os 0.6667 0.3333 0.0000

---

Entry 12:
## LaOsPtI2 (PBE-GGA)

Data for crystalline LaOsPtI2 at its relaxed geometry.

## Properties
spin magnetization	0.5	μB/f.u.
formation energy from raw total energies	2.42	eV per formula unit
total DFT energy (no corrections)	-4.57	eV/atom

Unit cell a=5.3734 b=5.3734 c=4.9567 alpha=90.00 beta=90.00 gamma=90.00
Fractional coordinates of all 5 atoms:
I 0.0000 0.5000 0.0000
Os 0.0000 0.0000 0.5000
Pt 0.0000 0.0000 0.0000
I 0.5000 0.0000 0.0000
La 0.5000 0.5000 0.5000